[1]
Compound: NbNiB3
Source: Alexandria
Functional: PBE
Structure: optimized geometry

abc: 4.1849 4.1849 4.1849
angles: 90.00 90.00 90.00
Last column: nearest neighbours and their distance in Å.
Sites, in units of the cell vectors:
Ni (0.5000, 0.5000, 0.5000)  12 B 2.96
B (0.0000, 0.5000, 0.0000)  2 Nb 2.09
B (0.0000, 0.0000, 0.5000)  2 Nb 2.09
B (0.5000, 0.0000, 0.0000)  2 Nb 2.09
Nb (0.0000, 0.0000, 0.0000)  6 B 2.09

Computed properties:
magnetic moment = 0.94 Bohr magnetons per cell
crystal system = cubic
D(E_F) = 0.861 states/eV per atom
calculated density = 4.17 g cm⁻³
DFT total energy = -5.4000 eV/atom
symmetry = Pm-3m, No. 221


[2]
Compound: CoPdPt
Source: Alexandria
Functional: PBE
Structure: optimized geometry

abc: 2.6945 2.6945 12.2003
angles: 96.34 96.34 90.00
Last column: nearest neighbours and their distance in Å.
Sites, in units of the cell vectors:
Pd (0.0542, 0.0542, 0.1083)  5 Pd 2.61-2.69, 4 Pt 2.83
Pd (0.9458, 0.9458, 0.8917)  5 Pd 2.61-2.69, 4 Pt 2.83
Co (0.7829, 0.7829, 0.5659)  8 Co 2.48-2.69, 4 Pt 2.64
Co (0.2171, 0.2171, 0.4341)  8 Co 2.48-2.69, 4 Pt 2.64
Pt (0.6411, 0.6411, 0.2822)  4 Co 2.64, 4 Pt 2.69, 4 Pd 2.83
Pt (0.3589, 0.3589, 0.7178)  4 Co 2.64, 4 Pt 2.69, 4 Pd 2.83

Computed properties:
magnetic moment = 4.43 Bohr magnetons per cell
crystal system = tetragonal
D(E_F) = 1.146 states/eV per atom
energy above the most stable polymorph in this dataset = 0.105 eV/atom
calculated density = 13.68 g cm⁻³
DFT total energy = -6.0798 eV/atom
symmetry = I4/mmm, No. 139


[3]
Compound: YZr2Fe
Source: Alexandria
Functional: PBE
Structure: optimized geometry

abc: 9.5251 9.5251 9.5251
angles: 19.96 19.96 19.96
Last column: nearest neighbours and their distance in Å.
Sites, in units of the cell vectors:
Zr (0.9948, 0.9948, 0.9948)  9 Zr 3.21-3.30, 3 Y 3.45
Zr (0.2358, 0.2358, 0.2358)  3 Fe 2.61
Y (0.7641, 0.7641, 0.7641)  3 Fe 2.83
Fe (0.5054, 0.5054, 0.5054)  3 Zr 2.61, 3 Y 2.83

Computed properties:
magnetic moment = 0.95 Bohr magnetons per cell
crystal system = trigonal
D(E_F) = 0.881 states/eV per atom
energy above the most stable polymorph in this dataset = 0.215 eV/atom
calculated density = 6.17 g cm⁻³
DFT total energy = -7.8044 eV/atom
symmetry = R3m, No. 160


[4]
Compound: PmZrSe2
Source: Alexandria
Functional: PBE
Structure: optimized geometry

abc: 3.9147 3.9147 7.4073
angles: 74.68 74.68 60.00
Last column: nearest neighbours and their distance in Å.
Sites, in units of the cell vectors:
Pm (0.4963, 0.4963, 0.5111)  6 Se 2.91-3.02
Zr (0.6701, 0.6701, 0.9897)  6 Se 2.74-2.82
Se (0.0762, 0.0762, 0.7714)  3 Zr 2.74, 3 Pm 2.91
Se (0.2574, 0.2574, 0.2278)  3 Zr 2.82, 3 Pm 3.02

Computed properties:
magnetic moment = 0.00 Bohr magnetons per cell
crystal system = trigonal
D(E_F) = 0.757 states/eV per atom
energy above the most stable polymorph in this dataset = 0.000 eV/atom
calculated density = 6.99 g cm⁻³
DFT total energy = -6.4865 eV/atom
symmetry = R3m, No. 160
ΔE_f (raw) = -1.4196 eV per atom